(1)
Entry from Alexandria via LeMat-Bulk: a relaxed Ac2PrP3Pt12 crystal (PBE).

Cell and atoms, written as POSCAR:
```
Ac2PrP3Pt12
1.0
4.1824 2.4147 6.3426
-4.1824 2.4147 6.3426
0.0000 -4.8294 6.3426
Ac Pr P Pt
2 1 3 12
Cartesian
0.0000 0.0000 1.9455
0.0000 0.0000 17.0824
0.0000 0.0000 9.5139
-2.0912 -1.2073 6.3426
-2.0912 1.2073 12.6853
0.0000 2.4147 6.3426
-2.2993 -1.3275 8.6609
0.0000 -2.1034 5.9260
-1.8216 1.0517 5.9260
0.0000 -2.6550 10.3670
-2.2993 1.3275 10.3670
-1.8216 -1.0517 13.1019
1.8216 1.0517 5.9260
2.2993 -1.3275 8.6609
0.0000 2.6550 8.6609
1.8216 -1.0517 13.1018
0.0000 2.1034 13.1018
2.2993 1.3275 10.3670
```

Summary:
Formation energy from the elements   -477 meV per atom
Electronic total energy   -6.13 eV per atom
Total magnetic moment   0.0 μB per formula unit



(2)
Entry from Alexandria via LeMat-Bulk: a relaxed AcPrPu2P4 crystal (PBE).

Cell and atoms, written as POSCAR:
```
AcPrPu2P4
1.0
7.1982 0.0000 0.0000
0.0000 4.1609 0.0000
-2.4091 0.0000 6.7880
Ac Pr Pu P
1 1 2 4
Cartesian
0.0000 0.0000 0.0000
-1.2045 2.0805 3.3940
2.3945 0.0000 3.3940
3.5991 2.0805 0.0000
0.1440 0.0000 5.1043
1.3477 2.0805 1.8108
3.4414 2.0805 4.9772
4.6451 0.0000 1.6837
```

Summary:
Formation energy from the elements   -1248 meV per atom
Electronic total energy   -8.65 eV per atom
Total magnetic moment   0.2 μB per formula unit



(3)
Entry from Alexandria via LeMat-Bulk: a relaxed AcPr2P3Rh12 crystal (PBE).

Cell and atoms, written as POSCAR:
```
AcPr2P3Rh12
1.0
4.2301 2.4422 5.3910
-4.2301 2.4422 5.3910
0.0000 -4.8845 5.3910
Ac Pr P Rh
1 2 3 12
Cartesian
0.0000 0.0000 0.0000
0.0000 0.0000 6.4928
0.0000 0.0000 9.6802
-4.2301 0.0000 8.0865
-2.1150 1.2211 2.6955
2.1150 1.2211 2.6955
-2.4527 -1.4161 7.7253
0.0000 -2.2055 4.9177
-1.9100 1.1027 4.9177
0.0000 -2.8321 8.4477
-2.4527 1.4161 8.4477
-1.9100 -1.1027 11.2553
1.9100 1.1027 4.9177
2.4527 -1.4161 7.7253
0.0000 2.8321 7.7253
1.9100 -1.1027 11.2553
0.0000 2.2055 11.2553
2.4527 1.4161 8.4477
```

Summary:
Formation energy from the elements   -259 meV per atom
Electronic total energy   -6.82 eV per atom
Total magnetic moment   0.0 μB per formula unit



(4)
Entry from Alexandria via LeMat-Bulk: a relaxed Ac2PrP3Rh12 crystal (PBE).

Cell and atoms, written as POSCAR:
```
Ac2PrP3Rh12
1.0
4.2663 2.4632 5.4059
-4.2663 2.4632 5.4059
0.0000 -4.9263 5.4059
Ac Pr P Rh
2 1 3 12
Cartesian
0.0000 0.0000 1.6920
0.0000 0.0000 14.5257
0.0000 0.0000 8.1089
-2.1332 -1.2316 5.4059
-2.1331 1.2316 10.8118
0.0000 2.4631 5.4059
-2.2843 -1.3188 7.6120
0.0000 -2.0450 5.0775
-1.7710 1.0225 5.0775
0.0000 -2.6377 8.6057
-2.2843 1.3188 8.6057
-1.7710 -1.0225 11.1402
1.7710 1.0225 5.0775
2.2843 -1.3188 7.6120
0.0000 2.6377 7.6120
1.7710 -1.0225 11.1402
0.0000 2.0450 11.1402
2.2843 1.3188 8.6057
```

Summary:
Formation energy from the elements   -273 meV per atom
Electronic total energy   -6.80 eV per atom
Total magnetic moment   0.0 μB per formula unit



(5)
Entry from Alexandria via LeMat-Bulk: a relaxed AcPrP2Rh5 crystal (PBE).

Cell and atoms, written as POSCAR:
```
AcPrP2Rh5
1.0
4.1330 0.0000 0.0000
0.0000 4.1330 0.0000
0.0000 0.0000 10.8580
Ac Pr P Rh
1 1 2 5
Cartesian
0.0000 0.0000 0.0000
0.0000 0.0000 5.4290
2.0665 2.0665 2.2944
2.0665 2.0665 8.5637
0.0000 2.0665 3.2369
0.0000 2.0665 7.6211
2.0665 0.0000 3.2369
2.0665 0.0000 7.6211
2.0665 2.0665 0.0000
```

Summary:
Formation energy from the elements   -783 meV per atom
Electronic total energy   -7.06 eV per atom
Total magnetic moment   0.0 μB per formula unit



(6)
Entry from Alexandria via LeMat-Bulk: a relaxed AcPrP2Rh2 crystal (PBE).

Cell and atoms, written as POSCAR:
```
AcPrP2Rh2
1.0
4.1450 0.0000 0.0000
-2.0725 3.5897 0.0000
0.0000 0.0000 8.5478
Ac Pr P Rh
1 1 2 2
Cartesian
0.0000 0.0000 0.0000
0.0000 0.0000 4.2739
0.0000 2.3931 2.3016
2.0725 1.1966 6.2462
0.0000 2.3931 6.4155
2.0725 1.1966 2.1323
```

Summary:
Formation energy from the elements   -1180 meV per atom
Electronic total energy   -6.92 eV per atom
Total magnetic moment   0.0 μB per formula unit